DyLuAlFe: relaxed, GGA-PBE.

Cell: 4.9110 4.9110 4.9110 Å, 60.00 60.00 60.00°
Last column: magnetic moment on the atom in μB.
Fractional positions:
Fe: 0.5000 0.5000 0.5000  1.77
Al: 0.0000 0.0000 0.0000  -0.01
Dy: 0.7500 0.7500 0.7500  -0.23
Lu: 0.2500 0.2500 0.2500  -0.23

**Calculated volume**: 20.94 Å³/atom
**Formation energy from the elements**: -0.4 eV/f.u.
**Space-group type**: F-43m


Er2CoRh: relaxed, GGA-PBE.

Cell: 3.3418 4.7558 9.4866 Å, 90.00 90.00 90.00°
Last column: magnetic moment on the atom in μB.
Fractional positions:
Rh: 0.5000 0.2500 0.3746  0.05
Co: 0.5000 0.7500 0.1244  0.67
Er: 0.0000 0.7500 0.8804  -0.17
Er: 0.0000 0.7500 0.3697  -0.08
Rh: 0.5000 0.7500 0.6254  0.05
Er: 0.0000 0.2500 0.1196  -0.17
Co: 0.5000 0.2500 0.8756  0.67
Er: 0.0000 0.2500 0.6303  -0.08

**Calculated volume**: 18.85 Å³/atom
**Formation energy from the elements**: -2.3 eV/f.u.
**Space-group type**: Pmma


ScHgP2: relaxed, GGA-PBE.

Cell: 3.5187 3.5187 7.3902 Å, 90.00 90.00 90.00°
Fractional positions:
P: 0.0000 0.0000 0.3984
Sc: 0.5000 0.5000 0.2500
Hg: 0.5000 0.5000 0.7500
P: 0.0000 0.0000 0.1016

**Calculated volume**: 22.88 Å³/atom
**Formation energy from the elements**: -2.0 eV/f.u.
**Space-group type**: P4/mmm


RbThZnTe4: relaxed, GGA-PBE.

Cell: 7.7617 6.5194 10.4770 Å, 90.00 107.71 90.00°
Fractional positions:
Zn: 0.7338 0.2500 0.6738
Te: 0.9832 0.0085 0.2962
Te: 0.5734 0.2500 0.4121
Te: 0.0168 0.9915 0.7038
Zn: 0.2662 0.7500 0.3262
Th: 0.7360 0.7500 0.4443
Te: 0.9832 0.4915 0.2962
Te: 0.5487 0.2500 0.8399
Rb: 0.2412 0.2500 0.0526
Te: 0.4513 0.7500 0.1601
Rb: 0.7588 0.7500 0.9474
Th: 0.2640 0.2500 0.5557
Te: 0.0168 0.5085 0.7038
Te: 0.4266 0.7500 0.5879

**Calculated volume**: 36.07 Å³/atom
**Uncorrected formation energy**: -87.1 kJ per mole of atoms
**Space-group type**: P2_1/m


MnGaCo3: relaxed, GGA-PBE.

Cell: 4.1605 4.1605 4.1605 Å, 90.00 90.00 90.00°
Last column: magnetic moment on the atom in μB.
Fractional positions:
Co: 0.0000 0.0000 0.5000  0.51
Mn: 0.0000 0.0000 0.0000  0.35
Co: 0.0000 0.5000 0.0000  0.53
Ga: 0.5000 0.5000 0.5000  0.02
Co: 0.5000 0.0000 0.0000  0.47

**Calculated volume**: 14.40 Å³/atom
**E above lowest polymorph**: 0.00 kcal/mol of atoms
**Formation energy from the elements**: 5.3 eV/f.u.
**Space-group type**: Pm-3m


YMgSc2H: relaxed, GGA-PBE.

Cell: 5.7584 3.7625 5.7584 Å, 90.00 90.00 90.00°
Fractional positions:
Y: 0.0000 0.0000 0.0000
Mg: 0.5000 0.5000 0.5000
Sc: 0.0000 0.0000 0.5000
Sc: 0.5000 0.0000 0.0000
H: 0.0000 0.5000 0.0000

**Calculated volume**: 24.95 Å³/atom
**E above lowest polymorph**: 17.09 kcal/mol of atoms
**Space-group type**: P4/mmm